# 1
Below is crystalline KHf2HRh at its relaxed geometry, with properties calculated at the PBE-GGA level.

Results
Crystal system: tetragonal

Unit cell a=5.0573 b=5.0573 c=3.4877 alpha=90.00 beta=90.00 gamma=90.00
Element x y z (fractional)
1 K 0.0000 0.0000 0.0000
2 Hf 0.0000 0.5000 0.0000
3 Hf 0.5000 0.0000 0.0000
4 H 0.0000 0.0000 0.5000
5 Rh 0.5000 0.5000 0.5000

# 2
Below is crystalline KHfHS2 at its relaxed geometry, with properties calculated at the PBE-GGA level.

Results
Crystal system: tetragonal

Unit cell a=5.0026 b=5.0026 c=4.0990 alpha=90.00 beta=90.00 gamma=90.00
Element x y z (fractional)
1 K 0.0000 0.0000 0.0000
2 Hf 0.5000 0.5000 0.5000
3 H 0.5000 0.5000 0.0000
4 S 0.0000 0.5000 0.5000
5 S 0.5000 0.0000 0.5000

# 3
Below is crystalline K2HfH2Se4 at its relaxed geometry, with properties calculated at the PBE-GGA level.

Results
Crystal system: monoclinic

Unit cell a=8.7397 b=8.7397 c=7.4681 alpha=112.46 beta=112.46 gamma=23.96
Element x y z (fractional)
1 K 0.1399 0.1399 0.1166
2 K 0.8601 0.8601 0.8834
3 Hf 0.0000 0.0000 0.5000
4 H 0.3146 0.3146 0.3739
5 H 0.6854 0.6854 0.6261
6 Se 0.1764 0.1764 0.6743
7 Se 0.4969 0.4969 0.7516
8 Se 0.5031 0.5031 0.2484
9 Se 0.8236 0.8236 0.3257

# 4
Below is crystalline KHfHSe2 at its relaxed geometry, with properties calculated at the PBE-GGA level.

Results
Crystal system: tetragonal

Unit cell a=5.2515 b=5.2515 c=4.1180 alpha=90.00 beta=90.00 gamma=90.00
Element x y z (fractional)
1 K 0.0000 0.0000 0.0000
2 Hf 0.5000 0.5000 0.5000
3 H 0.5000 0.5000 0.0000
4 Se 0.0000 0.5000 0.5000
5 Se 0.5000 0.0000 0.5000

# 5
Below is crystalline La3HfH at its relaxed geometry, with properties calculated at the PBE-GGA level.

Results
Crystal system: cubic

Unit cell a=5.0875 b=5.0875 c=5.0875 alpha=90.00 beta=90.00 gamma=90.00
Element x y z (fractional)
1 La 0.0000 0.0000 0.5000
2 La 0.0000 0.5000 0.0000
3 La 0.5000 0.0000 0.0000
4 Hf 0.5000 0.5000 0.5000
5 H 0.0000 0.0000 0.0000

# 6
Below is crystalline LaHf2H at its relaxed geometry, with properties calculated at the PBE-GGA level.

Results
Crystal system: trigonal

Unit cell a=8.9428 b=8.9428 c=8.9428 alpha=20.81 beta=20.81 gamma=20.81
Element x y z (fractional)
1 La 0.0000 0.0000 0.0000
2 Hf 0.1192 0.1192 0.1192
3 Hf 0.8808 0.8808 0.8808
4 H 0.5000 0.5000 0.5000

# 7
Below is crystalline LaHf2H at its relaxed geometry, with properties calculated at the PBE-GGA level.

Results
Crystal system: cubic

Unit cell a=4.8781 b=4.8781 c=4.8781 alpha=60.00 beta=60.00 gamma=60.00
Element x y z (fractional)
1 La 0.0000 0.0000 0.0000
2 Hf 0.2500 0.2500 0.2500
3 Hf 0.7500 0.7500 0.7500
4 H 0.5000 0.5000 0.5000

# 8
Below is crystalline LaHf2H at its relaxed geometry, with properties calculated at the PBE-GGA level.

Results
Crystal system: tetragonal

Unit cell a=6.3699 b=6.3699 c=6.3699 alpha=122.10 beta=122.10 gamma=86.40
Element x y z (fractional)
1 La 0.0000 0.0000 0.0000
2 La 0.7500 0.2500 0.5000
3 Hf 0.3444 0.6250 0.2194
4 Hf 0.3750 0.5944 0.7194
5 Hf 0.4056 0.1250 0.7806
6 Hf 0.8750 0.6556 0.2806
7 H 0.2500 0.7500 0.5000
8 H 0.5000 0.5000 0.0000

# 9
Below is crystalline LaHf3H at its relaxed geometry, with properties calculated at the PBE-GGA level.

Results
Crystal system: cubic

Unit cell a=5.2618 b=5.2618 c=5.2618 alpha=90.00 beta=90.00 gamma=90.00
Element x y z (fractional)
1 La 0.0000 0.0000 0.0000
2 Hf 0.0000 0.0000 0.5000
3 Hf 0.0000 0.5000 0.0000
4 Hf 0.5000 0.0000 0.0000
5 H 0.5000 0.5000 0.5000

# 10
Below is crystalline LaHf2H8 at its relaxed geometry, with properties calculated at the PBE-GGA level.

Results
Crystal system: monoclinic

Unit cell a=5.5728 b=5.5728 c=3.6869 alpha=92.37 beta=92.37 gamma=113.93
Element x y z (fractional)
1 La 0.0000 0.0000 0.0000
2 Hf 0.3323 0.6677 0.5000
3 Hf 0.6677 0.3323 0.5000
4 H 0.0274 0.3143 0.5248
5 H 0.2559 0.7441 0.0000
6 H 0.3143 0.0274 0.5248
7 H 0.3943 0.3943 0.2203
8 H 0.6057 0.6057 0.7797
9 H 0.6857 0.9726 0.4752
10 H 0.7441 0.2559 0.0000
11 H 0.9726 0.6857 0.4752

# 11
Below is crystalline La3HfH at its relaxed geometry, with properties calculated at the PBE-GGA level.

Results
Crystal system: cubic

Unit cell a=5.7943 b=5.7943 c=5.7943 alpha=90.00 beta=90.00 gamma=90.00
Element x y z (fractional)
1 La 0.0000 0.0000 0.5000
2 La 0.0000 0.5000 0.0000
3 La 0.5000 0.0000 0.0000
4 Hf 0.0000 0.0000 0.0000
5 H 0.5000 0.5000 0.5000

# 12
Below is crystalline LaHf3H at its relaxed geometry, with properties calculated at the PBE-GGA level.

Results
Crystal system: cubic

Unit cell a=4.6358 b=4.6358 c=4.6358 alpha=90.00 beta=90.00 gamma=90.00
Element x y z (fractional)
1 La 0.0000 0.0000 0.0000
2 Hf 0.0000 0.5000 0.5000
3 Hf 0.5000 0.0000 0.5000
4 Hf 0.5000 0.5000 0.0000
5 H 0.5000 0.5000 0.5000

# 13
Below is crystalline LiLa2HfH at its relaxed geometry, with properties calculated at the PBE-GGA level.

Results
Crystal system: tetragonal

Unit cell a=5.5266 b=5.5266 c=3.6887 alpha=90.00 beta=90.00 gamma=90.00
Element x y z (fractional)
1 Li 0.0000 0.0000 0.0000
2 La 0.0000 0.5000 0.5000
3 La 0.5000 0.0000 0.5000
4 Hf 0.5000 0.5000 0.0000
5 H 0.0000 0.0000 0.5000

# 14
Below is crystalline Li3La2HfH12 at its relaxed geometry, with properties calculated at the PBE-GGA level.

Results
Crystal system: trigonal

Unit cell a=6.2763 b=6.2763 c=6.2763 alpha=64.83 beta=64.83 gamma=64.83
Element x y z (fractional)
1 Li 0.0000 0.5000 0.5000
2 Li 0.5000 0.0000 0.5000
3 Li 0.5000 0.5000 0.0000
4 La 0.1589 0.1589 0.1589
5 La 0.8411 0.8411 0.8411
6 Hf 0.5000 0.5000 0.5000
7 H 0.1449 0.1449 0.5450
8 H 0.1449 0.5450 0.1449
9 H 0.1462 0.6041 0.6041
10 H 0.3959 0.3959 0.8538
11 H 0.3959 0.8538 0.3959
12 H 0.4550 0.8551 0.8551
13 H 0.5450 0.1449 0.1449
14 H 0.6041 0.1462 0.6041
15 H 0.6041 0.6041 0.1462
16 H 0.8538 0.3959 0.3959
17 H 0.8551 0.4550 0.8551
18 H 0.8551 0.8551 0.4550

# 15
Below is crystalline La2HfMgH at its relaxed geometry, with properties calculated at the PBE-GGA level.

Results
Crystal system: tetragonal

Unit cell a=5.2297 b=5.2297 c=4.3735 alpha=90.00 beta=90.00 gamma=90.00
Element x y z (fractional)
1 La 0.0000 0.5000 0.0000
2 La 0.5000 0.0000 0.0000
3 Hf 0.0000 0.0000 0.5000
4 Mg 0.5000 0.5000 0.5000
5 H 0.0000 0.0000 0.0000

# 16
Below is crystalline La2HfNi3H12 at its relaxed geometry, with properties calculated at the PBE-GGA level.

Results
Crystal system: trigonal

Unit cell a=6.0391 b=6.0391 c=6.0391 alpha=61.01 beta=61.01 gamma=61.01
Element x y z (fractional)
1 La 0.1144 0.1144 0.1144
2 La 0.8856 0.8856 0.8856
3 Hf 0.5000 0.5000 0.5000
4 Ni 0.0000 0.5000 0.5000
5 Ni 0.5000 0.0000 0.5000
6 Ni 0.5000 0.5000 0.0000
7 H 0.0986 0.6200 0.6200
8 H 0.2084 0.2084 0.6211
9 H 0.2084 0.6211 0.2084
10 H 0.3789 0.7916 0.7916
11 H 0.3800 0.3800 0.9014
12 H 0.3800 0.9014 0.3800
13 H 0.6200 0.0986 0.6200
14 H 0.6200 0.6200 0.0986
15 H 0.6211 0.2084 0.2084
16 H 0.7916 0.3789 0.7916
17 H 0.7916 0.7916 0.3789
18 H 0.9014 0.3800 0.3800

# 17
Below is crystalline LaHfHOs2 at its relaxed geometry, with properties calculated at the PBE-GGA level.

Results
Crystal system: tetragonal

Unit cell a=4.6022 b=4.6022 c=3.8625 alpha=90.00 beta=90.00 gamma=90.00
Element x y z (fractional)
1 La 0.0000 0.0000 0.0000
2 Hf 0.5000 0.5000 0.0000
3 H 0.5000 0.5000 0.5000
4 Os 0.0000 0.5000 0.5000
5 Os 0.5000 0.0000 0.5000

# 18
Below is crystalline LaHf2HS at its relaxed geometry, with properties calculated at the PBE-GGA level.

Results
Crystal system: tetragonal

Unit cell a=5.4631 b=5.4631 c=5.2898 alpha=90.00 beta=90.00 gamma=90.00
Element x y z (fractional)
1 La 0.0000 0.0000 0.0000
2 Hf 0.0000 0.5000 0.0000
3 Hf 0.5000 0.0000 0.0000
4 H 0.5000 0.5000 0.5000
5 S 0.0000 0.0000 0.5000

# 19
Below is crystalline LaHfSc2H at its relaxed geometry, with properties calculated at the PBE-GGA level.

Results
Crystal system: tetragonal

Unit cell a=4.6701 b=4.6701 c=4.7814 alpha=90.00 beta=90.00 gamma=90.00
Element x y z (fractional)
1 La 0.0000 0.0000 0.0000
2 Hf 0.5000 0.5000 0.0000
3 Sc 0.0000 0.5000 0.5000
4 Sc 0.5000 0.0000 0.5000
5 H 0.0000 0.0000 0.5000

# 20
Below is crystalline LaHfSc2H at its relaxed geometry, with properties calculated at the PBE-GGA level.

Results
Crystal system: tetragonal

Unit cell a=4.7052 b=4.7052 c=4.6374 alpha=90.00 beta=90.00 gamma=90.00
Element x y z (fractional)
1 La 0.0000 0.0000 0.0000
2 Hf 0.5000 0.5000 0.0000
3 Sc 0.0000 0.5000 0.5000
4 Sc 0.5000 0.0000 0.5000
5 H 0.5000 0.5000 0.5000

| no. | V (Å³/f.u.) | E (Ha/atom) |
| --- | --- | --- |
| 1 | 89.2 | -0.173 |
| 2 | 102.6 | -0.207 |
| 3 | 213.2 | -0.164 |
| 4 | 113.6 | -0.192 |
| 5 | 131.7 | -0.206 |
| 6 | 79.0 | -0.255 |
| 7 | 82.1 | -0.217 |
| 8 | 88.3 | -0.256 |
| 9 | 145.7 | -0.199 |
| 10 | 104.4 | -0.188 |
| 11 | 194.5 | -0.172 |
| 12 | 99.6 | -0.277 |
| 13 | 112.7 | -0.184 |
| 14 | 193.3 | -0.143 |
| 15 | 119.6 | -0.182 |
| 16 | 159.3 | -0.169 |
| 17 | 81.8 | -0.291 |
| 18 | 157.9 | -0.174 |
| 19 | 104.3 | -0.229 |
| 20 | 102.7 | -0.228 |